Entry 1:
Density functional theory data (PBE) for crystalline Ac2DyMg3Hg12 at its relaxed geometry.

## Properties
Crystal system: trigonal
Total energy in eV per cell: -24.26
ΔH_f (0 K) in kJ per mole of atoms: -16.3
SG: R-3m, No. 166

a = 12.612 Å, b = 12.612 Å, c = 12.612 Å
α = 32.42°, β = 32.42°, γ = 32.42°
Fractional positions:
Hg (0.406, 0.838, 0.406)
Hg (0.877, 0.413, 0.877)
Hg (0.123, 0.123, 0.587)
Hg (0.406, 0.406, 0.838)
Hg (0.838, 0.406, 0.406)
Hg (0.594, 0.162, 0.594)
Hg (0.123, 0.587, 0.123)
Hg (0.594, 0.594, 0.162)
Hg (0.413, 0.877, 0.877)
Hg (0.587, 0.123, 0.123)
Hg (0.162, 0.594, 0.594)
Hg (0.877, 0.877, 0.413)
Ac (0.638, 0.638, 0.638)
Ac (0.362, 0.362, 0.362)
Mg (0.500, 0.000, 0.000)
Mg (0.000, 0.000, 0.500)
Mg (0.000, 0.500, 0.000)
Dy (0.000, 0.000, 0.000)

---

Entry 2:
Density functional theory data (PBE) for crystalline NaAcDyHg at its relaxed geometry.

## Properties
Crystal system: cubic
Total energy in eV per cell: -10.48
ΔH_f (0 K) in kJ per mole of atoms: -3.6
SG: F-43m, No. 216

a = 5.607 Å, b = 5.607 Å, c = 5.607 Å
α = 60.00°, β = 60.00°, γ = 60.00°
Fractional positions:
Dy (0.750, 0.750, 0.750)
Ac (0.250, 0.250, 0.250)
Hg (0.500, 0.500, 0.500)
Na (0.000, 0.000, 0.000)

---

Entry 3:
Density functional theory data (PBE) for crystalline Ac2DyHgO6 at its relaxed geometry.

## Properties
Crystal system: monoclinic
Total energy in eV per cell: -136.68
Formation energy (no corrections) in eV per atom: -2.55
SG: P2_1/c, No. 14

a = 5.886 Å, b = 6.042 Å, c = 9.570 Å
α = 90.00°, β = 92.29°, γ = 90.00°
Fractional positions:
O (0.287, 0.718, 0.088)
O (0.713, 0.282, 0.912)
O (0.867, 0.573, 0.282)
O (0.633, 0.073, 0.218)
O (0.205, 0.217, 0.062)
O (0.705, 0.283, 0.562)
O (0.367, 0.927, 0.782)
O (0.295, 0.717, 0.438)
O (0.213, 0.218, 0.412)
O (0.787, 0.782, 0.588)
O (0.133, 0.427, 0.718)
O (0.795, 0.783, 0.938)
Hg (0.000, 0.500, 0.000)
Hg (0.500, 0.000, 0.500)
Ac (0.979, 0.050, 0.758)
Ac (0.521, 0.550, 0.742)
Ac (0.021, 0.950, 0.242)
Ac (0.479, 0.450, 0.258)
Dy (0.000, 0.500, 0.500)
Dy (0.500, 0.000, 0.000)